VASP calculation (PBE) on a relaxed structure of U2NiRh.

The calculation puts the volume at 216.9 Å³ per cell. As for the energy of formation from the pure elements: 0.194 eV per atom. The value obtained for the total energy is -104.80 eV per cell.

It has space group R-3m (No. 166, hexagonal axes), with a = 2.9301 Å, b = 2.9301 Å, c = 29.1790 Å, α = 90.00°, β = 90.00° and γ = 120.00°. The inequivalent atoms are U at (0.0000, 0.0000, 0.0881), Ni at (0.0000, 0.0000, 0.5000) and Rh at (0.0000, 0.0000, 0.0000).


VASP calculation (PBE) on a relaxed structure of U2Ni3Rh3.

The calculation puts the volume at 121.9 Å³ per cell. As for the energy of formation from the pure elements: -0.490 eV per atom. The value obtained for the total energy is -65.90 eV per cell.

It has space group Pmmm (No. 47), with a = 3.9478 Å, b = 3.9864 Å, c = 7.7453 Å, α = 90.00°, β = 90.00° and γ = 90.00°. The inequivalent atoms are U at (0.0000, 0.0000, 0.2496), Ni at (0.0000, 0.5000, 0.0000), Ni at (0.5000, 0.5000, 0.2434), Rh at (0.0000, 0.5000, 0.5000), Rh at (0.5000, 0.0000, 0.0000) and Rh at (0.5000, 0.0000, 0.5000).


VASP calculation (PBE) on a relaxed structure of UNi2Rh4.

The calculation puts the volume at 110.4 Å³ per cell. As for the energy of formation from the pure elements: -0.126 eV per atom. The value obtained for the total energy is -53.14 eV per cell.

It has space group P-1 (No. 2), with a = 4.6077 Å, b = 4.6460 Å, c = 5.5321 Å, α = 92.00°, β = 105.11° and γ = 103.83°. The inequivalent atoms are U at (0.0000, 0.0000, 0.0000), Ni at (0.0019, 0.2779, 0.6168), Rh at (0.4791, 0.9996, 0.7377), Rh at (0.5000, 0.5000, 0.0000) and Rh at (0.5000, 0.5000, 0.5000).


VASP calculation (PBE) on a relaxed structure of V4Ni12Rh.

The calculation puts the volume at 416.5 Å³ per cell. As for the energy of formation from the pure elements: 0.130 eV per atom. The value obtained for the total energy is -221.97 eV per cell.

It has space group Im-3m (No. 229), with a = 7.4680 Å, b = 7.4680 Å, c = 7.4680 Å, α = 90.00°, β = 90.00° and γ = 90.00°. The inequivalent atoms are V at (0.2500, 0.2500, 0.2500), Ni at (0.0000, 0.0000, 0.3100), Ni at (0.0000, 0.2500, 0.5000) and Rh at (0.0000, 0.0000, 0.0000).


VASP calculation (PBE) on a relaxed structure of VNi4Rh3.

The calculation puts the volume at 216.3 Å³ per cell. As for the energy of formation from the pure elements: 0.177 eV per atom. The value obtained for the total energy is -105.77 eV per cell.

It has space group Immm (No. 71), with a = 2.6771 Å, b = 6.7525 Å, c = 11.9655 Å, α = 90.00°, β = 90.00° and γ = 90.00°. The inequivalent atoms are V at (0.0000, 0.0000, 0.0000), Ni at (0.0000, 0.3154, 0.1504), Rh at (0.0000, 0.0000, 0.5000) and Rh at (0.0000, 0.5000, 0.3312).


VASP calculation (PBE) on a relaxed structure of VNi5Rh2.

The calculation puts the volume at 192.3 Å³ per cell. As for the energy of formation from the pure elements: -0.130 eV per atom. The value obtained for the total energy is -107.54 eV per cell.

It has space group Pbam (No. 55), with a = 5.1653 Å, b = 10.3440 Å, c = 3.5992 Å, α = 90.00°, β = 90.00° and γ = 90.00°. The inequivalent atoms are V at (0.0000, 0.0000, 0.0000), Ni at (0.0000, 0.5000, 0.0000), Ni at (0.0106, 0.2467, 0.0000), Ni at (0.2408, 0.6272, 0.5000) and Rh at (0.2409, 0.8779, 0.5000).


VASP calculation (PBE) on a relaxed structure of V4NiRh2.

The calculation puts the volume at 225.6 Å³ per cell. As for the energy of formation from the pure elements: 0.584 eV per atom. The value obtained for the total energy is -105.74 eV per cell.

It has space group I4/mmm (No. 139), with a = 4.2870 Å, b = 4.2870 Å, c = 12.2775 Å, α = 90.00°, β = 90.00° and γ = 90.00°. The inequivalent atoms are V at (0.0000, 0.0000, 0.1909), V at (0.0000, 0.5000, 0.0000), Ni at (0.0000, 0.0000, 0.0000) and Rh at (0.0000, 0.0000, 0.3783).


VASP calculation (PBE) on a relaxed structure of VNiRh4.

The calculation puts the volume at 376.4 Å³ per cell. The calculation puts the excess energy over the best structure of this formula in the dataset at 11.6 meV per atom. As for the energy of formation from the pure elements: 0.156 eV per atom. The value obtained for the total energy is -173.47 eV per cell.

It has space group Cmcm (No. 63), with a = 4.2200 Å, b = 16.9392 Å, c = 5.2652 Å, α = 90.00°, β = 90.00° and γ = 90.00°. The inequivalent atoms are V at (0.0000, 0.1534, 0.2500), Ni at (0.0000, 0.4279, 0.2500), Rh at (0.0000, 0.1482, 0.7500), Rh at (0.0000, 0.2972, 0.0036) and Rh at (0.0000, 0.4339, 0.7500).